Density functional theory data (GGA-PBE) for Ta2MnMo after structural relaxation. Values from VASP.

Output
**Raw total energy**: -10.931 eV/atom
**Energy of formation from the pure elements**: -0.004 eV/atom

```
&SYSTEM
  ibrav = 0, nat = 4, ntyp = 3
/
ATOMIC_SPECIES
Ta 180.95 Ta.upf
Mn 54.94 Mn.upf
Mo 95.94 Mo.upf
CELL_PARAMETERS angstrom
3.172 0.000 0.000
0.000 4.334 0.000
0.000 0.000 4.599
ATOMIC_POSITIONS angstrom
Ta 0.000 0.000 0.000
Ta 1.586 0.000 2.300
Mn 0.000 2.167 2.300
Mo 1.586 2.167 0.000
```